# 1
Computed, not measured: HgSb2Pt after structural relaxation at the PBEsol level of DFT.

CIF file:
```
data_HgSb2Pt
_cell_length_a 5.900
_cell_length_b 7.697
_cell_length_c 3.812
_cell_angle_alpha 90.00
_cell_angle_beta 90.00
_cell_angle_gamma 90.00
_space_group_name_H-M_alt 'C m m m'
_space_group_IT_number 65
_space_group_name_Hall '-C 2 2'
loop_
_atom_site_label
_atom_site_type_symbol
_atom_site_fract_x
_atom_site_fract_y
_atom_site_fract_z
Hg1 Hg 0.000 0.000 0.000
Sb1 Sb 0.250 0.250 0.500
Pt1 Pt 0.000 0.500 0.000
```

Computed properties:
E_form (uncorrected), eV per atom: 0.138

=====

# 2
Computed, not measured: MnBe2Br after structural relaxation at the PBEsol level of DFT.

CIF file:
```
data_MnBe2Br
_cell_length_a 3.0041
_cell_length_b 3.0041
_cell_length_c 20.9219
_cell_angle_alpha 90.00
_cell_angle_beta 90.00
_cell_angle_gamma 120.00
_space_group_name_H-M_alt 'R -3 m'
_space_group_IT_number 166
_space_group_name_Hall '-R 3 2"'
loop_
_atom_site_label
_atom_site_type_symbol
_atom_site_fract_x
_atom_site_fract_y
_atom_site_fract_z
Mn1 Mn 0.0000 0.0000 0.0000
Be1 Be 0.0000 0.0000 0.2523
Br1 Br 0.0000 0.0000 0.5000
```

Computed properties:
Energy above the lowest structure with this stoichiometry, eV per formula unit: 0.00
E_form (uncorrected), eV per atom: 0.616

=====

# 3
Computed, not measured: GaTeI7 after structural relaxation at the PBEsol level of DFT.

CIF file:
```
data_GaTeI7
_cell_length_a 7.125
_cell_length_b 6.996
_cell_length_c 16.505
_cell_angle_alpha 90.00
_cell_angle_beta 102.35
_cell_angle_gamma 90.00
_space_group_name_H-M_alt 'P 1 c 1'
_space_group_IT_number 7
loop_
_space_group_symop_operation_xyz
'x,y,z'
'x,-y,z+1/2'
loop_
_atom_site_label
_atom_site_type_symbol
_atom_site_fract_x
_atom_site_fract_y
_atom_site_fract_z
Ga1 Ga 0.000 0.014 0.000
Te1 Te 0.736 0.423 0.846
I1 I 0.026 0.349 0.511
I2 I 0.104 0.135 0.868
I3 I 0.225 0.161 0.128
I4 I 0.437 0.342 0.363
I5 I 0.512 0.175 0.734
I6 I 0.662 0.143 0.998
I7 I 0.889 0.369 0.234
```

Computed properties:
E_form (uncorrected), eV per atom: -0.252

=====

# 4
Computed, not measured: BaTaSb2I after structural relaxation at the PBEsol level of DFT.

CIF file:
```
data_BaTaSb2I
_cell_length_a 5.327
_cell_length_b 5.327
_cell_length_c 5.767
_cell_angle_alpha 90.00
_cell_angle_beta 90.00
_cell_angle_gamma 90.00
_space_group_name_H-M_alt 'P 4/m m m'
_space_group_IT_number 123
_space_group_name_Hall '-P 4 2'
loop_
_atom_site_label
_atom_site_type_symbol
_atom_site_fract_x
_atom_site_fract_y
_atom_site_fract_z
Ba1 Ba 0.000 0.000 0.000
Ta1 Ta 0.500 0.500 0.500
Sb1 Sb 0.000 0.500 0.500
I1 I 0.500 0.500 0.000
```

Computed properties:
E_form (uncorrected), eV per atom: -0.292

=====

# 5
Computed, not measured: Ta2MoPt after structural relaxation at the PBEsol level of DFT.

CIF file:
```
data_Ta2MoPt
_cell_length_a 4.380
_cell_length_b 4.380
_cell_length_c 3.394
_cell_angle_alpha 90.00
_cell_angle_beta 90.00
_cell_angle_gamma 90.00
_space_group_name_H-M_alt 'P 4/m m m'
_space_group_IT_number 123
_space_group_name_Hall '-P 4 2'
loop_
_atom_site_label
_atom_site_type_symbol
_atom_site_fract_x
_atom_site_fract_y
_atom_site_fract_z
Ta1 Ta 0.000 0.500 0.000
Mo1 Mo 0.000 0.000 0.500
Pt1 Pt 0.500 0.500 0.500
```

Computed properties:
Energy of formation from the pure elements, eV per atom: -0.35

=====

# 6
Computed, not measured: Li2BeCl after structural relaxation at the PBEsol level of DFT.

CIF file:
```
data_Li2BeCl
_cell_length_a 4.409
_cell_length_b 4.409
_cell_length_c 3.103
_cell_angle_alpha 90.00
_cell_angle_beta 90.00
_cell_angle_gamma 90.00
_space_group_name_H-M_alt 'P 4/m m m'
_space_group_IT_number 123
_space_group_name_Hall '-P 4 2'
loop_
_atom_site_label
_atom_site_type_symbol
_atom_site_fract_x
_atom_site_fract_y
_atom_site_fract_z
Li1 Li 0.000 0.500 0.000
Be1 Be 0.000 0.000 0.500
Cl1 Cl 0.500 0.500 0.500
```

Computed properties:
E_form (uncorrected), eV per atom: -0.188

=====

# 7
Computed, not measured: BiSe2BrN after structural relaxation at the PBEsol level of DFT.

CIF file:
```
data_BiSe2BrN
_cell_length_a 5.321
_cell_length_b 5.321
_cell_length_c 3.742
_cell_angle_alpha 90.00
_cell_angle_beta 90.00
_cell_angle_gamma 90.00
_space_group_name_H-M_alt 'P 4/m m m'
_space_group_IT_number 123
_space_group_name_Hall '-P 4 2'
loop_
_atom_site_label
_atom_site_type_symbol
_atom_site_fract_x
_atom_site_fract_y
_atom_site_fract_z
Bi1 Bi 0.000 0.000 0.000
Se1 Se 0.000 0.500 0.500
Br1 Br 0.500 0.500 0.500
N1 N 0.500 0.500 0.000
```

Computed properties:
Energy above the lowest structure with this stoichiometry, eV per formula unit: 0.00
E_form (uncorrected), eV per atom: 1.067

=====

# 8
Computed, not measured: SrZnH2Au after structural relaxation at the PBEsol level of DFT.

CIF file:
```
data_SrZnH2Au
_cell_length_a 4.061
_cell_length_b 4.061
_cell_length_c 4.892
_cell_angle_alpha 90.00
_cell_angle_beta 90.00
_cell_angle_gamma 90.00
_space_group_name_H-M_alt 'P 4/m m m'
_space_group_IT_number 123
_space_group_name_Hall '-P 4 2'
loop_
_atom_site_label
_atom_site_type_symbol
_atom_site_fract_x
_atom_site_fract_y
_atom_site_fract_z
Sr1 Sr 0.000 0.000 0.000
Zn1 Zn 0.500 0.500 0.000
H1 H 0.000 0.500 0.500
Au1 Au 0.500 0.500 0.500
```

Computed properties:
Raw total energy, eV/atom: -2.7319

=====

# 9
Computed, not measured: YRe3Rh after structural relaxation at the PBEsol level of DFT.

CIF file:
```
data_YRe3Rh
_cell_length_a 4.609
_cell_length_b 4.609
_cell_length_c 4.609
_cell_angle_alpha 90.00
_cell_angle_beta 90.00
_cell_angle_gamma 90.00
_space_group_name_H-M_alt 'P m -3 m'
_space_group_IT_number 221
_space_group_name_Hall '-P 4 2 3'
loop_
_atom_site_label
_atom_site_type_symbol
_atom_site_fract_x
_atom_site_fract_y
_atom_site_fract_z
Y1 Y 0.000 0.000 0.000
Re1 Re 0.000 0.000 0.500
Rh1 Rh 0.500 0.500 0.500
```

Computed properties:
Energy of formation from the pure elements, eV per atom: 3.27

=====

# 10
Computed, not measured: SrCa2W after structural relaxation at the PBEsol level of DFT.

CIF file:
```
data_SrCa2W
_cell_length_a 4.881
_cell_length_b 4.881
_cell_length_c 4.903
_cell_angle_alpha 90.00
_cell_angle_beta 90.00
_cell_angle_gamma 90.00
_space_group_name_H-M_alt 'P 4/m m m'
_space_group_IT_number 123
_space_group_name_Hall '-P 4 2'
loop_
_atom_site_label
_atom_site_type_symbol
_atom_site_fract_x
_atom_site_fract_y
_atom_site_fract_z
Sr1 Sr 0.000 0.000 0.000
Ca1 Ca 0.000 0.500 0.500
W1 W 0.500 0.500 0.000
```

Computed properties:
Energy above the lowest structure with this stoichiometry, eV per formula unit: 0.97
Energy of formation from the pure elements, eV per atom: 1.09

=====

# 11
Computed, not measured: SrAlTl2 after structural relaxation at the PBEsol level of DFT.

CIF file:
```
data_SrAlTl2
_cell_length_a 3.709
_cell_length_b 4.753
_cell_length_c 6.383
_cell_angle_alpha 90.00
_cell_angle_beta 99.76
_cell_angle_gamma 90.00
_space_group_name_H-M_alt 'P 1 2/m 1'
_space_group_IT_number 10
loop_
_space_group_symop_operation_xyz
'x,y,z'
'-x,-y,-z'
'-x,y,-z'
'x,-y,z'
loop_
_atom_site_label
_atom_site_type_symbol
_atom_site_fract_x
_atom_site_fract_y
_atom_site_fract_z
Sr1 Sr 0.000 0.000 0.000
Al1 Al 0.500 0.000 0.500
Tl1 Tl 0.335 0.500 0.721
```

Computed properties:
Energy of formation from the pure elements, eV per atom: -0.12

=====

# 12
Computed, not measured: TcPt4Au after structural relaxation at the PBEsol level of DFT.

CIF file:
```
data_TcPt4Au
_cell_length_a 7.315
_cell_length_b 7.315
_cell_length_c 7.315
_cell_angle_alpha 90.00
_cell_angle_beta 90.00
_cell_angle_gamma 90.00
_space_group_name_H-M_alt 'F -4 3 m'
_space_group_IT_number 216
_space_group_name_Hall 'F -4 2 3'
loop_
_atom_site_label
_atom_site_type_symbol
_atom_site_fract_x
_atom_site_fract_y
_atom_site_fract_z
Tc1 Tc 0.000 0.000 0.000
Pt1 Pt 0.125 0.125 0.625
Au1 Au 0.250 0.250 0.250
```

Computed properties:
Energy of formation from the pure elements, eV per atom: 0.36

=====

# 13
Computed, not measured: TiPdW2Br after structural relaxation at the PBEsol level of DFT.

CIF file:
```
data_TiPdW2Br
_cell_length_a 4.580
_cell_length_b 4.580
_cell_length_c 4.706
_cell_angle_alpha 90.00
_cell_angle_beta 90.00
_cell_angle_gamma 90.00
_space_group_name_H-M_alt 'P 4/m m m'
_space_group_IT_number 123
_space_group_name_Hall '-P 4 2'
loop_
_atom_site_label
_atom_site_type_symbol
_atom_site_fract_x
_atom_site_fract_y
_atom_site_fract_z
Ti1 Ti 0.000 0.000 0.000
Pd1 Pd 0.500 0.500 0.500
W1 W 0.000 0.500 0.000
Br1 Br 0.000 0.000 0.500
```

Computed properties:
E_form (uncorrected), eV per atom: 1.919

=====

# 14
Computed, not measured: NaGa3Fe after structural relaxation at the PBEsol level of DFT.

CIF file:
```
data_NaGa3Fe
_cell_length_a 4.538
_cell_length_b 4.538
_cell_length_c 4.538
_cell_angle_alpha 90.00
_cell_angle_beta 90.00
_cell_angle_gamma 90.00
_space_group_name_H-M_alt 'P m -3 m'
_space_group_IT_number 221
_space_group_name_Hall '-P 4 2 3'
loop_
_atom_site_label
_atom_site_type_symbol
_atom_site_fract_x
_atom_site_fract_y
_atom_site_fract_z
Na1 Na 0.000 0.000 0.000
Ga1 Ga 0.000 0.500 0.500
Fe1 Fe 0.500 0.500 0.500
```

Computed properties:
Energy of formation from the pure elements, eV per atom: -0.16

=====

# 15
Computed, not measured: YTcN3 after structural relaxation at the PBEsol level of DFT.

CIF file:
```
data_YTcN3
_cell_length_a 10.857
_cell_length_b 9.487
_cell_length_c 6.163
_cell_angle_alpha 90.00
_cell_angle_beta 112.41
_cell_angle_gamma 90.00
_space_group_name_H-M_alt 'C 1 2/c 1'
_space_group_IT_number 15
loop_
_space_group_symop_operation_xyz
'x,y,z'
'-x,-y,-z'
'-x,y,-z+1/2'
'x,-y,z+1/2'
'x+1/2,y+1/2,z'
'-x+1/2,-y+1/2,-z'
'-x+1/2,y+1/2,-z+1/2'
'x+1/2,-y+1/2,z+1/2'
loop_
_atom_site_label
_atom_site_type_symbol
_atom_site_fract_x
_atom_site_fract_y
_atom_site_fract_z
Y1 Y 0.000 0.089 0.250
Y2 Y 0.000 0.298 0.750
Tc1 Tc 0.209 0.411 0.227
N1 N 0.112 0.110 0.660
N2 N 0.124 0.249 0.154
N3 N 0.149 0.495 0.934
```

Computed properties:
E_form (uncorrected), eV per atom: -0.745

=====

# 16
Computed, not measured: ScSe3F after structural relaxation at the PBEsol level of DFT.

CIF file:
```
data_ScSe3F
_cell_length_a 4.568
_cell_length_b 4.568
_cell_length_c 4.568
_cell_angle_alpha 90.00
_cell_angle_beta 90.00
_cell_angle_gamma 90.00
_space_group_name_H-M_alt 'P m -3 m'
_space_group_IT_number 221
_space_group_name_Hall '-P 4 2 3'
loop_
_atom_site_label
_atom_site_type_symbol
_atom_site_fract_x
_atom_site_fract_y
_atom_site_fract_z
Sc1 Sc 0.000 0.000 0.000
Se1 Se 0.000 0.500 0.500
F1 F 0.500 0.500 0.500
```

Computed properties:
E_form (uncorrected), eV per atom: -0.347

=====

# 17
Computed, not measured: HgSbAu2 after structural relaxation at the PBEsol level of DFT.

CIF file:
```
data_HgSbAu2
_cell_length_a 3.120
_cell_length_b 4.466
_cell_length_c 12.336
_cell_angle_alpha 90.00
_cell_angle_beta 90.00
_cell_angle_gamma 90.00
_space_group_name_H-M_alt 'I m m 2'
_space_group_IT_number 44
loop_
_space_group_symop_operation_xyz
'x,y,z'
'-x,-y,z'
'-x,y,z'
'x,-y,z'
'x+1/2,y+1/2,z+1/2'
'-x+1/2,-y+1/2,z+1/2'
'-x+1/2,y+1/2,z+1/2'
'x+1/2,-y+1/2,z+1/2'
loop_
_atom_site_label
_atom_site_type_symbol
_atom_site_fract_x
_atom_site_fract_y
_atom_site_fract_z
Hg1 Hg 0.000 0.000 0.000
Sb1 Sb 0.000 0.500 0.247
Au1 Au 0.000 0.000 0.551
Au2 Au 0.000 0.500 0.841
```

Computed properties:
Energy above the lowest structure with this stoichiometry, eV per formula unit: 0.11
E_form (uncorrected), eV per atom: 0.059

=====

# 18
Computed, not measured: Mg5Au3 after structural relaxation at the PBEsol level of DFT.

CIF file:
```
data_Mg5Au3
_cell_length_a 7.9738
_cell_length_b 7.9738
_cell_length_c 5.5003
_cell_angle_alpha 90.00
_cell_angle_beta 90.00
_cell_angle_gamma 120.00
_space_group_name_H-M_alt 'P 63/m c m'
_space_group_IT_number 193
_space_group_name_Hall '-P 6c 2'
loop_
_atom_site_label
_atom_site_type_symbol
_atom_site_fract_x
_atom_site_fract_y
_atom_site_fract_z
Mg1 Mg 0.0000 0.2543 0.2500
Mg2 Mg 0.3333 0.6667 0.0000
Au1 Au 0.0000 0.3894 0.7500
```

Computed properties:
Energy above the lowest structure with this stoichiometry, eV per formula unit: 0.07
Energy of formation from the pure elements, eV per atom: -0.52

=====

# 19
Computed, not measured: YGe after structural relaxation at the PBEsol level of DFT.

CIF file:
```
data_YGe
_cell_length_a 4.240
_cell_length_b 10.611
_cell_length_c 3.905
_cell_angle_alpha 90.00
_cell_angle_beta 90.00
_cell_angle_gamma 90.00
_space_group_name_H-M_alt 'C m c m'
_space_group_IT_number 63
_space_group_name_Hall '-C 2c 2'
loop_
_atom_site_label
_atom_site_type_symbol
_atom_site_fract_x
_atom_site_fract_y
_atom_site_fract_z
Y1 Y 0.000 0.139 0.250
Ge1 Ge 0.000 0.416 0.250
```

Computed properties:
Energy of formation from the pure elements, eV per atom: -0.97

=====

# 20
Computed, not measured: ReSbTe2C after structural relaxation at the PBEsol level of DFT.

CIF file:
```
data_ReSbTe2C
_cell_length_a 5.136
_cell_length_b 5.136
_cell_length_c 5.119
_cell_angle_alpha 90.00
_cell_angle_beta 90.00
_cell_angle_gamma 90.00
_space_group_name_H-M_alt 'P 4/m m m'
_space_group_IT_number 123
_space_group_name_Hall '-P 4 2'
loop_
_atom_site_label
_atom_site_type_symbol
_atom_site_fract_x
_atom_site_fract_y
_atom_site_fract_z
Re1 Re 0.000 0.000 0.000
Sb1 Sb 0.000 0.000 0.500
Te1 Te 0.000 0.500 0.000
C1 C 0.500 0.500 0.500
```

Computed properties:
E_form (uncorrected), eV per atom: 2.007

=====

# 21
Computed, not measured: InRe2Bi after structural relaxation at the PBEsol level of DFT.

CIF file:
```
data_InRe2Bi
_cell_length_a 6.583
_cell_length_b 6.583
_cell_length_c 6.583
_cell_angle_alpha 90.00
_cell_angle_beta 90.00
_cell_angle_gamma 90.00
_space_group_name_H-M_alt 'F m -3 m'
_space_group_IT_number 225
_space_group_name_Hall '-F 4 2 3'
loop_
_atom_site_label
_atom_site_type_symbol
_atom_site_fract_x
_atom_site_fract_y
_atom_site_fract_z
In1 In 0.000 0.000 0.000
Re1 Re 0.250 0.250 0.250
Bi1 Bi 0.000 0.000 0.500
```

Computed properties:
Energy of formation from the pure elements, eV per atom: 0.99

=====

# 22
Computed, not measured: KScSb after structural relaxation at the PBEsol level of DFT.

CIF file:
```
data_KScSb
_cell_length_a 3.5182
_cell_length_b 3.5182
_cell_length_c 8.4345
_cell_angle_alpha 90.00
_cell_angle_beta 90.00
_cell_angle_gamma 120.00
_space_group_name_H-M_alt 'P 3 m 1'
_space_group_IT_number 156
loop_
_space_group_symop_operation_xyz
'x,y,z'
'-y,x-y,z'
'-x+y,-x,z'
'-y,-x,z'
'-x+y,y,z'
'x,x-y,z'
loop_
_atom_site_label
_atom_site_type_symbol
_atom_site_fract_x
_atom_site_fract_y
_atom_site_fract_z
K1 K 0.0000 0.0000 0.0000
Sc1 Sc 0.6667 0.3333 0.4088
Sb1 Sb 0.3333 0.6667 0.6668
```

Computed properties:
E_form (uncorrected), eV per atom: -0.044

=====

# 23
Computed, not measured: K2TiAlP3O12 after structural relaxation at the PBEsol level of DFT.

CIF file:
```
data_K2TiAlP3O12
_cell_length_a 9.754
_cell_length_b 9.754
_cell_length_c 9.754
_cell_angle_alpha 90.00
_cell_angle_beta 90.00
_cell_angle_gamma 90.00
_space_group_name_H-M_alt 'P 21 3'
_space_group_IT_number 198
_space_group_name_Hall 'P 2ac 2ab 3'
loop_
_atom_site_label
_atom_site_type_symbol
_atom_site_fract_x
_atom_site_fract_y
_atom_site_fract_z
K1 K 0.043 0.043 0.043
K2 K 0.182 0.318 0.682
Ti1 Ti 0.164 0.664 0.836
Al1 Al 0.108 0.892 0.392
P1 P 0.020 0.203 0.371
O1 O 0.009 0.555 0.772
O2 O 0.015 0.052 0.328
O3 O 0.051 0.794 0.235
O4 O 0.104 0.830 0.750
```

Computed properties:
E_form (uncorrected), eV per atom: -2.585